Record 1
Pm5Y4Th2 | GGA-PBE | optimized geometry

a = 3.522 Å, b = 8.918 Å, c = 11.890 Å
α = 86.03°, β = 90.00°, γ = 90.00°
Atoms (fractional coordinates):
Pm1 0.000 0.422 0.289
Pm2 0.000 0.803 0.166
Pm3 0.000 0.500 0.000
Pm4 0.000 0.197 0.834
Pm5 0.000 0.578 0.711
Y1 0.500 0.303 0.547
Y2 0.500 0.844 0.894
Y3 0.500 0.697 0.453
Y4 0.500 0.156 0.106
Th1 0.000 0.960 0.632
Th2 0.000 0.040 0.368

Output
The energy above the most stable polymorph in this dataset is 0.000 eV/atom. The calculated formation energy is 0.123 eV per atom. As for the space group: P2/m.

***

Record 2
ErGa3Ni2 | GGA-PBE | optimized geometry

a = 5.217 Å, b = 6.088 Å, c = 6.088 Å
α = 98.83°, β = 90.00°, γ = 90.00°
Atoms (fractional coordinates):
Er1 0.250 0.350 0.350
Er2 0.750 0.650 0.650
Ga1 0.750 0.453 0.105
Ga2 0.750 0.105 0.453
Ga3 0.250 0.547 0.895
Ga4 0.750 0.031 0.031
Ga5 0.250 0.969 0.969
Ga6 0.250 0.895 0.547
Ni1 0.500 0.777 0.223
Ni2 0.000 0.777 0.223
Ni3 0.000 0.223 0.777
Ni4 0.500 0.223 0.777

Output
The calculated formation energy is -0.535 eV per atom. As for the space group: Cmcm.

***

Record 3
FeP2Br | GGA-PBE | optimized geometry

a = 5.764 Å, b = 5.764 Å, c = 6.643 Å
α = 64.29°, β = 64.29°, γ = 90.00°
Atoms (fractional coordinates):
P1 0.496 0.125 0.250
P2 0.254 0.625 0.250
P3 0.375 0.504 0.750
P4 0.875 0.746 0.750
Fe1 0.500 0.500 0.000
Fe2 0.250 0.750 0.500
Br1 0.000 0.000 0.000
Br2 0.750 0.250 0.500

Output
As for the formation energy without anion corrections: 0.7 eV per formula unit. The energy above the most stable polymorph in this dataset is 0.267 eV/atom. As for the space group: I-42d.

***

Record 4
La2TmSn | GGA-PBE | optimized geometry

a = 4.344 Å, b = 4.344 Å, c = 6.787 Å
α = 90.00°, β = 90.00°, γ = 90.00°
Atoms (fractional coordinates):
Tm1 0.500 0.500 0.000
Sn1 0.500 0.500 0.500
La1 0.000 0.000 0.729
La2 0.000 0.000 0.271

Output
The energy above the most stable polymorph in this dataset is 0.053 eV/atom. The calculated formation energy is -0.387 eV per atom. As for the space group: P4/mmm.

***

Record 5
Li2YCu | GGA-PBE | optimized geometry

a = 4.695 Å, b = 4.695 Å, c = 4.695 Å
α = 60.00°, β = 60.00°, γ = 60.00°
Last column: magnetic moment on the atom in μB.
Atoms (fractional coordinates):
Y1 0.500 0.500 0.500  0.23
Cu1 0.000 0.000 0.000  0.02
Li1 0.250 0.250 0.250  0.04
Li2 0.750 0.750 0.750  0.04

Output
The energy above the most stable polymorph in this dataset is 0.179 eV/atom. The calculated formation energy is 0.158 eV per atom. As for the space group: Fm-3m.

***

Record 6
NaMnAgCl6 | GGA-PBE | optimized geometry

a = 5.992 Å, b = 6.646 Å, c = 6.646 Å
α = 120.00°, β = 90.00°, γ = 90.00°
Last column: magnetic moment on the atom in μB.
Atoms (fractional coordinates):
Na1 0.000 0.333 0.667  0.00
Mn1 0.500 0.000 0.000  2.90
Ag1 0.500 0.667 0.333  -0.03
Cl1 0.722 0.721 0.715  -0.01
Cl2 0.722 0.285 0.007  -0.01
Cl3 0.722 0.993 0.279  -0.01
Cl4 0.278 0.285 0.279  -0.01
Cl5 0.278 0.721 0.007  -0.01
Cl6 0.278 0.993 0.715  -0.01

Output
As for the formation energy without anion corrections: -8.5 eV per formula unit. As for the space group: P312.

***

no.,VASP energy (eV/atom)
1,-5.736
2,-4.736
3,-5.065
4,-4.969
5,-3.439
6,-3.655